Entry 1:
A geometry-optimized ThPt2Rh2 structure. Source: Alexandria, functional PBE-GGA.

```
ThPt2Rh2
1.0
-1.962 1.962 12.378
1.962 -1.962 12.378
1.962 1.962 -12.378
Th Pt Rh
2 4 4
direct
0.130 0.130 0.000
0.870 0.870 0.000
0.250 0.750 0.500
0.428 0.428 0.000
0.572 0.572 0.000
0.750 0.250 0.500
0.000 0.500 0.500
0.326 0.326 0.000
0.500 0.000 0.500
0.674 0.674 0.000
```

Calculated values
For the density of states at the Fermi level, the calculation gives 13.41 states/eV per cell. The total magnetic moment is 0.01 Bohr magnetons per cell. Its total energy is -73.6 eV per cell. The energy relative to the lowest polymorph listed for this composition comes out at 0.0 meV per atom.

Entry 2:
A geometry-optimized AcSbRh2 structure. Source: Alexandria, functional PBE-GGA.

```
AcSbRh2
1.0
4.783 0.000 0.000
0.000 4.783 0.000
0.000 0.000 3.772
Ac Sb Rh
1 1 2
direct
0.000 0.000 0.000
0.500 0.500 0.000
0.000 0.500 0.500
0.500 0.000 0.500
```

Calculated values
For the density of states at the Fermi level, the calculation gives 3.55 states/eV per cell. The uncorrected formation energy comes out at -0.452 eV per atom. The total magnetic moment is 0.00 Bohr magnetons per cell. Its total energy is -24.7 eV per cell.

Entry 3:
A geometry-optimized AlFe2B structure. Source: Alexandria, functional PBE-GGA.

```
AlFe2B
1.0
2.588 0.000 0.000
0.000 2.588 0.000
0.000 0.000 5.962
Al Fe B
1 2 1
direct
0.000 0.000 0.000
0.500 0.500 0.304
0.500 0.500 0.696
0.000 0.000 0.500
```

Calculated values
For the density of states at the Fermi level, the calculation gives 2.56 states/eV per cell. The total magnetic moment is 2.24 Bohr magnetons per cell. Its total energy is -28.2 eV per cell. The energy relative to the lowest polymorph listed for this composition comes out at 0.0 meV per atom.

Entry 4:
A geometry-optimized Dy3Er2In structure. Source: Alexandria, functional PBE-GGA.

```
Dy3Er2In
1.0
-2.850 3.198 5.052
2.850 -3.198 5.052
2.850 3.198 -5.052
Dy Er In
3 2 1
direct
0.000 0.000 0.000
0.345 0.345 0.000
0.655 0.655 0.000
0.183 0.683 0.500
0.817 0.317 0.500
0.500 0.000 0.500
```

Calculated values
For the density of states at the Fermi level, the calculation gives 8.82 states/eV per cell. The total magnetic moment is 0.00 Bohr magnetons per cell. Its total energy is -24.4 eV per cell. The energy relative to the lowest polymorph listed for this composition comes out at 378.6 meV per atom.

- Look up the total magnetic moment of the third one.
  2.24 Bohr magnetons per cell

- The highest total magnetic moment belongs to which entry?
  AlFe2B